First-principles (GGA-PBE) data for a relaxed Rb2BaCu2Br6 crystal, as listed in Alexandria.

Results
space-group type	C2/m

```
Rb2BaCu2Br6
1.0
6.6175 -3.9971 0.0000
6.6175 3.9971 0.0000
-3.9834 0.0000 8.1277
Rb Ba Cu Br
2 1 2 6
direct
0.2078 0.2078 0.1726
0.7922 0.7922 0.8274
0.0000 0.0000 0.5000
0.4576 0.4576 0.7388
0.5424 0.5424 0.2612
0.1839 0.6869 0.1861
0.2606 0.2606 0.5828
0.3131 0.8161 0.8139
0.6869 0.1839 0.1861
0.7394 0.7394 0.4172
0.8161 0.3131 0.8139
```



First-principles (GGA-PBE) data for a relaxed RbBa3Cu4Br12 crystal, as listed in Alexandria.

Results
space-group type	R32

```
RbBa3Cu4Br12
1.0
7.7470 4.4727 4.1234
-7.7470 4.4727 4.1234
0.0000 -8.9454 4.1234
Rb Ba Cu Br
1 3 4 12
direct
0.0000 0.0000 0.0000
0.0000 0.5419 0.4581
0.4581 0.0000 0.5419
0.5419 0.4581 0.0000
0.0531 0.5000 0.9469
0.5000 0.5000 0.5000
0.5000 0.9469 0.0531
0.9469 0.0531 0.5000
0.0097 0.6475 0.7976
0.1037 0.8963 0.5000
0.2024 0.3525 0.9903
0.3483 0.6517 0.5000
0.3525 0.9903 0.2024
0.5000 0.1037 0.8963
0.5000 0.3483 0.6517
0.6475 0.7976 0.0097
0.6517 0.5000 0.3483
0.7976 0.0097 0.6475
0.8963 0.5000 0.1037
0.9903 0.2024 0.3525
```



First-principles (GGA-PBE) data for a relaxed RbBaCuBr4 crystal, as listed in Alexandria.

Results
space-group type	P2_1/m

```
RbBaCuBr4
1.0
7.2384 0.0000 0.0000
0.0000 7.4432 0.0000
-3.0756 0.0000 9.1049
Rb Ba Cu Br
2 2 2 8
direct
0.2420 0.2500 0.4374
0.7580 0.7500 0.5626
0.2640 0.2500 0.9439
0.7360 0.7500 0.0561
0.2790 0.7500 0.1872
0.7210 0.2500 0.8128
0.0925 0.7500 0.9213
0.0954 0.7500 0.3609
0.4885 0.5052 0.7661
0.4885 0.9948 0.7661
0.5115 0.0052 0.2339
0.5115 0.4948 0.2339
0.9046 0.2500 0.6391
0.9075 0.2500 0.0787
```



First-principles (GGA-PBE) data for a relaxed Ba6CuRh2Br3 crystal, as listed in Alexandria.

Results
space-group type	C2/m

```
Ba6CuRh2Br3
1.0
3.9559 -6.8519 0.0000
3.9559 6.8519 0.0000
-2.6440 0.0000 8.3278
Ba Cu Rh Br
6 1 2 3
direct
0.0763 0.4287 0.7863
0.2190 0.2190 0.2140
0.4287 0.0763 0.7863
0.5713 0.9237 0.2137
0.7810 0.7810 0.7860
0.9237 0.5713 0.2137
0.5000 0.5000 0.0000
0.1666 0.8334 0.0000
0.8334 0.1666 0.0000
0.0000 0.0000 0.5000
0.3344 0.6656 0.5000
0.6656 0.3344 0.5000
```



First-principles (GGA-PBE) data for a relaxed Ba2CuS2Br2 crystal, as listed in Alexandria.

Results
energy above the lowest structure with this stoichiometry	271.9	meV/atom
space-group type	I4/mmm

```
Ba2CuS2Br2
1.0
-2.5329 2.5329 7.7843
2.5329 -2.5329 7.7843
2.5329 2.5329 -7.7843
Ba Cu S Br
2 1 2 2
direct
0.1502 0.1502 0.0000
0.8498 0.8498 0.0000
0.5000 0.5000 0.0000
0.3439 0.3439 0.0000
0.6561 0.6561 0.0000
0.0000 0.5000 0.5000
0.5000 0.0000 0.5000
```



First-principles (GGA-PBE) data for a relaxed Ba2CuS2Br2 crystal, as listed in Alexandria.

Results
energy above the lowest structure with this stoichiometry	0.0	meV/atom
space-group type	I4/mmm

```
Ba2CuS2Br2
1.0
-2.3497 2.3497 8.9528
2.3497 -2.3497 8.9528
2.3497 2.3497 -8.9528
Ba Cu S Br
2 1 2 2
direct
0.1216 0.1216 0.0000
0.8784 0.8784 0.0000
0.5000 0.5000 0.0000
0.0000 0.5000 0.5000
0.5000 0.0000 0.5000
0.3146 0.3146 0.0000
0.6854 0.6854 0.0000
```



First-principles (GGA-PBE) data for a relaxed BaScCu2Br8 crystal, as listed in Alexandria.

Results
space-group type	C2/m

```
BaScCu2Br8
1.0
5.2600 -3.8817 0.0000
5.2600 3.8817 0.0000
-0.0868 0.0000 9.4865
Ba Sc Cu Br
1 1 2 8
direct
0.0000 0.0000 0.0000
0.0000 0.0000 0.5000
0.3449 0.3449 0.7263
0.6551 0.6551 0.2737
0.2354 0.7583 0.7068
0.2417 0.7646 0.2932
0.2505 0.2505 0.4993
0.3094 0.3094 0.9705
0.6906 0.6906 0.0295
0.7495 0.7495 0.5007
0.7583 0.2354 0.7068
0.7646 0.2417 0.2932
```



First-principles (GGA-PBE) data for a relaxed BaTaCuBr2 crystal, as listed in Alexandria.

Results
space-group type	P4/mmm

```
BaTaCuBr2
1.0
5.0301 0.0000 0.0000
0.0000 5.0301 0.0000
0.0000 0.0000 6.9853
Ba Ta Cu Br
1 1 1 2
direct
0.0000 0.0000 0.0000
0.0000 0.0000 0.5000
0.5000 0.5000 0.0000
0.0000 0.5000 0.5000
0.5000 0.0000 0.5000
```



Total magnetic moment? In order: 0.19 1.17 0.27 0.00 0.00 0.00 1.09 0.00 Bohr magnetons per cell.
Raw formation energy? In order: -1297.3 -1242.6 -1520.3 -900.8 -1313.5 -1585.4 -1184.7 270.3 meV per atom.